Na5Cd2Pb5 (PBE-GGA, relaxed); energy = -2.346 eV per atom; calculated formation energy = -10 kJ/mol of atoms; symmetry = C2/m, No. 12; volume = 29.080 Å³ per atom
1.0
-4.1989 2.7339 1.7554
-5.2017 -0.9923 -2.8683
-7.1967 -9.5149 5.6332
Pb Na Cd
5 5 2
Cartesian
-4.8162 -2.3674 0.1953
-11.7810 -5.4059 4.3250
-9.6626 -5.3838 1.3293
-6.9347 -2.3895 3.1910
0.0000 0.0000 0.0000
-6.1992 -5.2536 1.3825
-3.1298 0.5049 -0.2444
-13.4674 -8.2782 4.7647
-8.2585 -2.4497 0.1180
-8.3387 -5.3237 4.4023
-10.8624 -7.9190 2.4078
-5.7348 0.1457 2.1125